P:
First-principles (GGA-PBE) data for a relaxed NpCoH4 crystal, as listed in Alexandria via LeMat-Bulk.

Cell and atoms, written as POSCAR:
```
NpCoH4
1.0
2.797 -5.176 0.000
2.797 5.176 0.000
-2.764 0.000 3.071
Np Co H
2 2 8
direct
0.176 0.824 0.750
0.824 0.176 0.250
0.427 0.573 0.250
0.573 0.427 0.750
0.082 0.445 0.954
0.242 0.246 0.755
0.246 0.242 0.255
0.445 0.082 0.454
0.555 0.918 0.546
0.754 0.758 0.745
0.758 0.754 0.245
0.918 0.555 0.046
```

Computed properties:
**Crystal system**: monoclinic
**SG**: C2/c
**DOS at the Fermi energy**: 5.0 states/eV/f.u.

***

Q:
First-principles (GGA-PBE) data for a relaxed NpCoH4 crystal, as listed in Alexandria via LeMat-Bulk.

Cell and atoms, written as POSCAR:
```
NpCoH4
1.0
3.198 0.000 0.000
0.000 3.198 0.000
0.000 0.000 4.487
Np Co H
1 1 4
direct
0.000 0.000 0.000
0.500 0.500 0.500
0.000 0.500 0.500
0.500 0.000 0.500
0.500 0.500 0.155
0.500 0.500 0.845
```

Computed properties:
**Crystal system**: tetragonal
**SG**: P4/mmm
**DOS at the Fermi energy**: 8.8 states/eV/f.u.

***

Out of the structures above, which one is the most stable? Solution: P.